1.
LiTa3, relaxed, DFT PBE; ΔE to the lowest computed polymorph = 0.123 eV per atom; final energy = -36.14 eV per cell; energy of formation from the pure elements = 332 meV per atom
1.0
0.000 3.253 3.253
3.253 0.000 3.253
3.253 3.253 0.000
Li Ta
1 3
Cartesian
0.000 0.000 0.000
1.627 1.627 1.627
3.253 3.253 3.253
4.880 4.880 4.880

=====

2.
LiTa3, relaxed, DFT PBE; ΔE to the lowest computed polymorph = 0.108 eV per atom; final energy = -36.21 eV per cell; energy of formation from the pure elements = 316 meV per atom
1.0
3.359 0.000 0.000
0.000 3.359 0.000
0.000 0.000 6.074
Li Ta
1 3
Cartesian
0.000 0.000 0.000
0.000 0.000 3.037
1.679 1.679 1.517
1.679 1.679 4.557

=====

3.
LiTa, relaxed, DFT PBE; ΔE to the lowest computed polymorph = 0.347 eV per atom; final energy = -25.28 eV per cell; energy of formation from the pure elements = 563 meV per atom
1.0
4.712 0.000 0.000
0.000 2.707 0.000
0.000 0.000 5.424
Li Ta
2 2
Cartesian
1.178 0.000 0.746
3.534 0.000 4.678
1.178 1.354 3.397
3.534 1.354 2.027